The following is a DFT calculation (PBE) of a geometry-optimized PrAl2ZnAg structure.

Lattice parameters (Å, degrees): 4.398 4.398 10.681 90.00 90.00 90.00
Space group I-4m2 (No. 119)
Asymmetric unit:
Pr 0.000 0.000 0.000
Al 0.000 0.000 0.381
Zn 0.000 0.500 0.250
Ag 0.000 0.500 0.750

Computed properties:
Theoretical density = 5.92 g cm⁻³
Formation enthalpy at 0 K = -0.364 eV per atom